VASP calculation (GGA-PBE) on CuNi2Mo after structural relaxation.

* ΔH_f (0 K): 39 meV/atom
* volume: 12.36 A^3/atom
* Fermi-level density of states: 1.119 states/eV/atom
* energy above the lowest structure with this stoichiometry: 46.1 meV per atom
* space group: Pmmm (47)
* spin magnetization: 0.00 μB/cell

a = 2.6099 Å, b = 3.5899 Å, c = 5.2767 Å
α = 90.00°, β = 90.00°, γ = 90.00°
Closest atoms and distances in Å follow each position.
Fractional coordinates of all 4 atoms:
Cu  0.0000  0.0000  0.0000  8 Ni 2.56, 2 Cu 2.61, 2 Mo 2.64
Ni  0.5000  0.5000  0.2430  4 Cu 2.56, 4 Ni 2.56-2.71, 4 Mo 2.60
Ni  0.5000  0.5000  0.7570  4 Cu 2.56, 4 Ni 2.56-2.71, 4 Mo 2.60
Mo  0.0000  0.0000  0.5000  8 Ni 2.60, 2 Mo 2.61, 2 Cu 2.64

***

VASP calculation (GGA-PBE) on Ca6TlPd5 after structural relaxation.

* ΔH_f (0 K): -602 meV/atom
* volume: 23.18 A^3/atom
* Fermi-level density of states: 0.511 states/eV/atom
* space group: Immm (71)
* spin magnetization: 0.00 μB/cell

a = 8.7419 Å, b = 8.7419 Å, c = 8.7419 Å
α = 146.69°, β = 130.02°, γ = 61.40°
Closest atoms and distances in Å follow each position.
Fractional coordinates of all 12 atoms:
Ca  0.0678  0.3281  0.7397  7 Pd 3.06-3.16, 1 Tl 3.22
Ca  0.2302  0.0000  0.2302  6 Pd 3.03-3.11, 2 Tl 3.20
Ca  0.4115  0.6719  0.7397  7 Pd 3.06-3.16, 1 Tl 3.22
Ca  0.5885  0.3281  0.2603  7 Pd 3.06-3.16, 1 Tl 3.22
Ca  0.7698  0.0000  0.7698  6 Pd 3.03-3.11, 2 Tl 3.20
Ca  0.9322  0.6719  0.2603  7 Pd 3.06-3.16, 1 Tl 3.22
Tl  0.5000  0.5000  0.0000  8 Ca 3.20-3.22, 4 Pd 3.46
Pd  0.0000  0.5000  0.5000  8 Ca 3.03-3.13
Pd  0.1702  0.1702  0.0000  8 Ca 3.06-3.07
Pd  0.3413  0.8413  0.5000  8 Ca 3.10-3.16, 2 Tl 3.46
Pd  0.6587  0.1587  0.5000  8 Ca 3.10-3.16, 2 Tl 3.46
Pd  0.8298  0.8298  0.0000  8 Ca 3.06-3.07

***

VASP calculation (GGA-PBE) on Pm3Pd2Rh7 after structural relaxation.

* ΔH_f (0 K): -566 meV/atom
* volume: 18.18 A^3/atom
* Fermi-level density of states: 0.845 states/eV/atom
* space group: R-3m (166)
* spin magnetization: 0.00 μB/cell

a = 9.4088 Å, b = 9.4088 Å, c = 9.4088 Å
α = 32.86°, β = 32.86°, γ = 32.86°
Closest atoms and distances in Å follow each position.
Fractional coordinates of all 12 atoms:
Pm  0.0000  0.0000  0.0000  6 Pd 3.07
Pm  0.1397  0.1397  0.1397  12 Rh 3.05-3.30, 3 Pm 3.39
Pm  0.8603  0.8603  0.8603  12 Rh 3.05-3.30, 3 Pm 3.39
Pd  0.3331  0.3331  0.3331  6 Rh 2.71-2.73
Pd  0.6669  0.6669  0.6669  6 Rh 2.71-2.73
Rh  0.0822  0.5850  0.5850  5 Rh 2.65-2.69, 2 Pd 2.71-2.73
Rh  0.4150  0.4150  0.9178  5 Rh 2.65-2.69, 2 Pd 2.71-2.73
Rh  0.4150  0.9178  0.4150  5 Rh 2.65-2.69, 2 Pd 2.71-2.73
Rh  0.5000  0.5000  0.5000  6 Rh 2.69
Rh  0.5850  0.0822  0.5850  5 Rh 2.65-2.69, 2 Pd 2.71-2.73
Rh  0.5850  0.5850  0.0822  5 Rh 2.65-2.69, 2 Pd 2.71-2.73
Rh  0.9178  0.4150  0.4150  5 Rh 2.65-2.69, 2 Pd 2.71-2.73

***

> Number 1 is which compound?

CuNi2Mo

***

> The highest ΔH_f (0 K) belongs to which entry?

CuNi2Mo